{
  "formula": "CoAgSbPt",
  "functional": "PBE",
  "state": "relaxed",
  "cell": [[0.000, 3.209, 3.209], [3.209, 0.000, 3.209], [3.209, 3.209, 0.000]],
  "species": ["Co", "Ag", "Sb", "Pt"],
  "fractional_positions": [[0.000, 0.000, 0.000], [0.250, 0.250, 0.250], [0.750, 0.750, 0.750], [0.500, 0.500, 0.500]],
  "e_above_lowest_polymorph_mev_per_atom": 0,
  "magnetic_moment_mub_per_atom": 0.37,
  "space_group": "F-43m (216)",
  "crystal_system": "cubic",
  "total_energy_ev_per_atom": -4.94
}

=====

{
  "formula": "TlCoAgPt",
  "functional": "PBE",
  "state": "relaxed",
  "cell": [[0.000, 3.235, 3.235], [3.235, 0.000, 3.235], [3.235, 3.235, 0.000]],
  "species": ["Tl", "Co", "Ag", "Pt"],
  "fractional_positions": [[0.000, 0.000, 0.000], [0.250, 0.250, 0.250], [0.500, 0.500, 0.500], [0.750, 0.750, 0.750]],
  "e_above_lowest_polymorph_mev_per_atom": 0,
  "magnetic_moment_mub_per_atom": 0.00,
  "space_group": "F-43m (216)",
  "crystal_system": "cubic",
  "total_energy_ev_per_atom": -4.27
}

=====

{
  "formula": "ZnCoAgPt",
  "functional": "PBE",
  "state": "relaxed",
  "cell": [[0.000, 3.095, 3.095], [3.095, 0.000, 3.095], [3.095, 3.095, 0.000]],
  "species": ["Zn", "Co", "Ag", "Pt"],
  "fractional_positions": [[0.000, 0.000, 0.000], [0.250, 0.250, 0.250], [0.750, 0.750, 0.750], [0.500, 0.500, 0.500]],
  "e_above_lowest_polymorph_mev_per_atom": 0,
  "formation_energy_ev_per_fu": 0.36,
  "magnetic_moment_mub_per_atom": 0.45,
  "space_group": "F-43m (216)",
  "crystal_system": "cubic",
  "total_energy_ev_per_atom": -4.22
}

=====

{
  "formula": "PuCoAg",
  "functional": "PBE",
  "state": "relaxed",
  "cell": [[0.000, 3.086, 3.086], [3.086, 0.000, 3.086], [3.086, 3.086, 0.000]],
  "species": ["Pu", "Co", "Ag"],
  "fractional_positions": [[0.000, 0.000, 0.000], [0.750, 0.750, 0.750], [0.500, 0.500, 0.500]],
  "formation_energy_ev_per_fu": 2.89,
  "magnetic_moment_mub_per_atom": 0.07,
  "space_group": "F-43m (216)",
  "crystal_system": "cubic",
  "total_energy_ev_per_atom": -7.06
}

=====

{
  "formula": "RbCoAgS3",
  "functional": "PBE",
  "state": "relaxed",
  "cell": [[1.754, -7.642, 0.000], [1.754, 7.642, 0.000], [0.000, 0.000, 9.808]],
  "species": ["Rb", "Rb", "Co", "Co", "Ag", "Ag", "S", "S", "S", "S", "S", "S"],
  "fractional_positions": [[0.239, 0.761, 0.750], [0.761, 0.239, 0.250], [0.500, 0.500, 0.000], [0.500, 0.500, 0.500], [0.066, 0.934, 0.250], [0.934, 0.066, 0.750], [0.099, 0.901, 0.011], [0.099, 0.901, 0.489], [0.447, 0.553, 0.250], [0.553, 0.447, 0.750], [0.901, 0.099, 0.511], [0.901, 0.099, 0.989]],
  "magnetic_moment_mub_per_atom": 0.11,
  "space_group": "Cmcm (63)",
  "crystal_system": "orthorhombic",
  "total_energy_ev_per_atom": -4.11
}

=====

{
  "formula": "RbCoAgSe2S",
  "functional": "PBE",
  "state": "relaxed",
  "cell": [[1.836, -7.745, 0.000], [1.836, 7.745, 0.000], [0.000, 0.000, 10.115]],
  "species": ["Rb", "Rb", "Co", "Co", "Ag", "Ag", "Se", "Se", "Se", "Se", "S", "S"],
  "fractional_positions": [[0.248, 0.752, 0.750], [0.752, 0.248, 0.250], [0.500, 0.500, 0.000], [0.500, 0.500, 0.500], [0.051, 0.949, 0.250], [0.949, 0.051, 0.750], [0.104, 0.896, 0.013], [0.104, 0.896, 0.487], [0.896, 0.104, 0.513], [0.896, 0.104, 0.987], [0.442, 0.558, 0.250], [0.558, 0.442, 0.750]],
  "magnetic_moment_mub_per_atom": 0.15,
  "space_group": "Cmcm (63)",
  "crystal_system": "orthorhombic",
  "total_energy_ev_per_atom": -3.90
}

=====

{
  "formula": "RbCoAgTeS2",
  "functional": "PBE",
  "state": "relaxed",
  "cell": [[1.740, -8.303, 0.000], [1.740, 8.303, 0.000], [0.000, 0.000, 10.160]],
  "species": ["Rb", "Rb", "Co", "Co", "Ag", "Ag", "Te", "Te", "S", "S", "S", "S"],
  "fractional_positions": [[0.250, 0.750, 0.750], [0.750, 0.250, 0.250], [0.000, 0.000, 0.000], [0.000, 0.000, 0.500], [0.423, 0.577, 0.250], [0.577, 0.423, 0.750], [0.062, 0.938, 0.250], [0.938, 0.062, 0.750], [0.408, 0.592, 0.015], [0.408, 0.592, 0.485], [0.592, 0.408, 0.515], [0.592, 0.408, 0.985]],
  "magnetic_moment_mub_per_atom": 0.00,
  "space_group": "Cmcm (63)",
  "crystal_system": "orthorhombic",
  "total_energy_ev_per_atom": -3.99
}

=====

{
  "formula": "RbCoAgTe2S",
  "functional": "PBE",
  "state": "relaxed",
  "cell": [[1.942, -7.979, 0.000], [1.942, 7.979, 0.000], [0.000, 0.000, 10.558]],
  "species": ["Rb", "Rb", "Co", "Co", "Ag", "Ag", "Te", "Te", "Te", "Te", "S", "S"],
  "fractional_positions": [[0.250, 0.750, 0.750], [0.750, 0.250, 0.250], [0.000, 0.000, 0.000], [0.000, 0.000, 0.500], [0.462, 0.538, 0.250], [0.538, 0.462, 0.750], [0.392, 0.608, 0.016], [0.392, 0.608, 0.484], [0.608, 0.392, 0.516], [0.608, 0.392, 0.984], [0.063, 0.937, 0.250], [0.937, 0.063, 0.750]],
  "magnetic_moment_mub_per_atom": 0.18,
  "space_group": "Cmcm (63)",
  "crystal_system": "orthorhombic",
  "total_energy_ev_per_atom": -3.70
}

=====

{
  "formula": "RbCoAgTe3",
  "functional": "PBE",
  "state": "relaxed",
  "cell": [[1.937, -8.305, 0.000], [1.937, 8.305, 0.000], [0.000, 0.000, 10.916]],
  "species": ["Rb", "Rb", "Co", "Co", "Ag", "Ag", "Te", "Te", "Te", "Te", "Te", "Te"],
  "fractional_positions": [[0.241, 0.759, 0.750], [0.759, 0.241, 0.250], [0.000, 0.000, 0.000], [0.000, 0.000, 0.500], [0.442, 0.558, 0.250], [0.558, 0.442, 0.750], [0.063, 0.937, 0.250], [0.395, 0.605, 0.012], [0.395, 0.605, 0.488], [0.605, 0.395, 0.512], [0.605, 0.395, 0.988], [0.937, 0.063, 0.750]],
  "magnetic_moment_mub_per_atom": 0.07,
  "space_group": "Cmcm (63)",
  "crystal_system": "orthorhombic",
  "total_energy_ev_per_atom": -3.59
}

=====

{
  "formula": "CoReAg2",
  "functional": "PBE",
  "state": "relaxed",
  "cell": [[0.000, 3.108, 3.108], [3.108, 0.000, 3.108], [3.108, 3.108, 0.000]],
  "species": ["Co", "Re", "Ag", "Ag"],
  "fractional_positions": [[0.000, 0.000, 0.000], [0.750, 0.750, 0.750], [0.250, 0.250, 0.250], [0.500, 0.500, 0.500]],
  "formation_energy_ev_per_fu": 3.29,
  "magnetic_moment_mub_per_atom": 0.00,
  "space_group": "F-43m (216)",
  "crystal_system": "cubic",
  "total_energy_ev_per_atom": -5.47
}

=====

{
  "formula": "TlCoReAg",
  "functional": "PBE",
  "state": "relaxed",
  "cell": [[0.000, 3.205, 3.205], [3.205, 0.000, 3.205], [3.205, 3.205, 0.000]],
  "species": ["Tl", "Co", "Re", "Ag"],
  "fractional_positions": [[0.000, 0.000, 0.000], [0.250, 0.250, 0.250], [0.500, 0.500, 0.500], [0.750, 0.750, 0.750]],
  "e_above_lowest_polymorph_mev_per_atom": 0,
  "magnetic_moment_mub_per_atom": 0.50,
  "space_group": "F-43m (216)",
  "crystal_system": "cubic",
  "total_energy_ev_per_atom": -5.22
}

=====

{
  "formula": "TlCoAgSeS2",
  "functional": "PBE",
  "state": "relaxed",
  "cell": [[1.682, -7.477, 0.000], [1.682, 7.477, 0.000], [0.000, 0.000, 9.948]],
  "species": ["Tl", "Tl", "Co", "Co", "Ag", "Ag", "Se", "Se", "S", "S", "S", "S"],
  "fractional_positions": [[0.203, 0.797, 0.750], [0.797, 0.203, 0.250], [0.500, 0.500, 0.000], [0.500, 0.500, 0.500], [0.130, 0.870, 0.250], [0.870, 0.130, 0.750], [0.471, 0.529, 0.250], [0.529, 0.471, 0.750], [0.101, 0.899, 0.008], [0.101, 0.899, 0.492], [0.899, 0.101, 0.508], [0.899, 0.101, 0.992]],
  "magnetic_moment_mub_per_atom": 0.00,
  "space_group": "Cmcm (63)",
  "crystal_system": "orthorhombic",
  "total_energy_ev_per_atom": -4.13
}

=====

{
  "formula": "CoAgSnS3",
  "functional": "PBE",
  "state": "relaxed",
  "cell": [[1.740, -7.578, 0.000], [1.740, 7.578, 0.000], [0.000, 0.000, 9.076]],
  "species": ["Co", "Co", "Ag", "Ag", "Sn", "Sn", "S", "S", "S", "S", "S", "S"],
  "fractional_positions": [[0.000, 0.000, 0.000], [0.000, 0.000, 0.500], [0.310, 0.690, 0.750], [0.690, 0.310, 0.250], [0.340, 0.660, 0.250], [0.660, 0.340, 0.750], [0.036, 0.964, 0.750], [0.403, 0.597, 0.525], [0.403, 0.597, 0.975], [0.597, 0.403, 0.025], [0.597, 0.403, 0.475], [0.964, 0.036, 0.250]],
  "magnetic_moment_mub_per_atom": 0.00,
  "space_group": "Cmcm (63)",
  "crystal_system": "orthorhombic",
  "total_energy_ev_per_atom": -4.63
}

=====

{
  "formula": "SrCoAgS3",
  "functional": "PBE",
  "state": "relaxed",
  "cell": [[1.889, -6.404, 0.000], [1.889, 6.404, 0.000], [0.000, 0.000, 9.736]],
  "species": ["Sr", "Sr", "Co", "Co", "Ag", "Ag", "S", "S", "S", "S", "S", "S"],
  "fractional_positions": [[0.248, 0.752, 0.750], [0.752, 0.248, 0.250], [0.500, 0.500, 0.000], [0.500, 0.500, 0.500], [0.051, 0.949, 0.250], [0.949, 0.051, 0.750], [0.118, 0.882, 0.019], [0.118, 0.882, 0.481], [0.424, 0.576, 0.250], [0.576, 0.424, 0.750], [0.882, 0.118, 0.519], [0.882, 0.118, 0.981]],
  "magnetic_moment_mub_per_atom": 0.00,
  "space_group": "Cmcm (63)",
  "crystal_system": "orthorhombic",
  "total_energy_ev_per_atom": -4.52
}

=====

{
  "formula": "TlCoAgTe2S",
  "functional": "PBE",
  "state": "relaxed",
  "cell": [[1.954, -6.886, 0.000], [1.954, 6.886, 0.000], [0.000, 0.000, 10.577]],
  "species": ["Tl", "Tl", "Co", "Co", "Ag", "Ag", "Te", "Te", "Te", "Te", "S", "S"],
  "fractional_positions": [[0.244, 0.756, 0.750], [0.756, 0.244, 0.250], [0.000, 0.000, 0.000], [0.000, 0.000, 0.500], [0.429, 0.571, 0.250], [0.571, 0.429, 0.750], [0.379, 0.621, 0.501], [0.379, 0.621, 0.999], [0.621, 0.379, 0.001], [0.621, 0.379, 0.499], [0.048, 0.952, 0.250], [0.952, 0.048, 0.750]],
  "magnetic_moment_mub_per_atom": 0.12,
  "space_group": "Cmcm (63)",
  "crystal_system": "orthorhombic",
  "total_energy_ev_per_atom": -3.74
}

=====

{
  "formula": "CoAgSb2",
  "functional": "PBE",
  "state": "relaxed",
  "cell": [[0.000, 3.436, 3.436], [3.436, 0.000, 3.436], [3.436, 3.436, 0.000]],
  "species": ["Co", "Ag", "Sb", "Sb"],
  "fractional_positions": [[0.000, 0.000, 0.000], [0.750, 0.750, 0.750], [0.250, 0.250, 0.250], [0.500, 0.500, 0.500]],
  "magnetic_moment_mub_per_atom": 0.24,
  "space_group": "F-43m (216)",
  "crystal_system": "cubic",
  "total_energy_ev_per_atom": -3.95
}

=====

{
  "formula": "ZnCoAgSb",
  "functional": "PBE",
  "state": "relaxed",
  "cell": [[0.000, 3.210, 3.210], [3.210, 0.000, 3.210], [3.210, 3.210, 0.000]],
  "species": ["Zn", "Co", "Ag", "Sb"],
  "fractional_positions": [[0.000, 0.000, 0.000], [0.750, 0.750, 0.750], [0.250, 0.250, 0.250], [0.500, 0.500, 0.500]],
  "e_above_lowest_polymorph_mev_per_atom": 0,
  "magnetic_moment_mub_per_atom": 0.01,
  "space_group": "F-43m (216)",
  "crystal_system": "cubic",
  "total_energy_ev_per_atom": -3.58
}

=====

{
  "formula": "Sc2CoAg2",
  "functional": "PBE",
  "state": "relaxed",
  "cell": [[-2.242, 2.242, 5.454], [2.242, -2.242, 5.454], [2.242, 2.242, -5.454]],
  "species": ["Sc", "Sc", "Co", "Ag", "Ag"],
  "fractional_positions": [[0.250, 0.750, 0.500], [0.750, 0.250, 0.500], [0.000, 0.000, 0.000], [0.387, 0.387, 0.000], [0.613, 0.613, 0.000]],
  "e_above_lowest_polymorph_mev_per_atom": 435,
  "formation_energy_ev_per_fu": 2.97,
  "magnetic_moment_mub_per_atom": 0.35,
  "space_group": "I4/mmm (139)",
  "crystal_system": "tetragonal",
  "total_energy_ev_per_atom": -4.49
}

=====

{
  "formula": "Sc2CoAg2",
  "functional": "PBE",
  "state": "relaxed",
  "cell": [[-1.801, 1.801, 7.589], [1.801, -1.801, 7.589], [1.801, 1.801, -7.589]],
  "species": ["Sc", "Sc", "Co", "Ag", "Ag"],
  "fractional_positions": [[0.092, 0.092, 0.000], [0.908, 0.908, 0.000], [0.500, 0.500, 0.000], [0.250, 0.750, 0.500], [0.750, 0.250, 0.500]],
  "e_above_lowest_polymorph_mev_per_atom": 0,
  "formation_energy_ev_per_fu": 0.80,
  "magnetic_moment_mub_per_atom": 0.15,
  "space_group": "I4/mmm (139)",
  "crystal_system": "tetragonal",
  "total_energy_ev_per_atom": -4.92
}

=====

{
  "formula": "ScCo2Ag",
  "functional": "PBE",
  "state": "relaxed",
  "cell": [[0.000, 3.111, 3.111], [3.111, 0.000, 3.111], [3.111, 3.111, 0.000]],
  "species": ["Sc", "Co", "Co", "Ag"],
  "fractional_positions": [[0.000, 0.000, 0.000], [0.500, 0.500, 0.500], [0.750, 0.750, 0.750], [0.250, 0.250, 0.250]],
  "formation_energy_ev_per_fu": 0.44,
  "magnetic_moment_mub_per_atom": 0.66,
  "space_group": "F-43m (216)",
  "crystal_system": "cubic",
  "total_energy_ev_per_atom": -5.73
}